# SbTe2MoO, relaxed, DFT PBE with a Hubbard U
data_SbTe2MoO
_chemical_formula_sum 'Sb1 Te2 Mo1 O1'
_cell_length_a 5.172
_cell_length_b 5.172
_cell_length_c 5.281
_cell_angle_alpha 90.00
_cell_angle_beta 90.00
_cell_angle_gamma 90.00
_symmetry_space_group_name_H-M 'P 4/m m m'
_symmetry_Int_Tables_number 123
_symmetry_space_group_name_Hall '-P 4 2'
loop_
_atom_site_label
_atom_site_type_symbol
_atom_site_fract_x
_atom_site_fract_y
_atom_site_fract_z
Sb1 Sb 0.000 0.000 0.000
Te1 Te 0.000 0.500 0.500
Mo1 Mo 0.000 0.000 0.500
O1 O 0.500 0.500 0.000
# ΔE to the lowest computed polymorph ... 74.4 kJ per mole of atoms

# SbTe2MoO, relaxed, DFT PBE with a Hubbard U
data_SbTe2MoO
_chemical_formula_sum 'Sb1 Te2 Mo1 O1'
_cell_length_a 4.888
_cell_length_b 4.888
_cell_length_c 4.767
_cell_angle_alpha 90.00
_cell_angle_beta 90.00
_cell_angle_gamma 90.00
_symmetry_space_group_name_H-M 'P 4/m m m'
_symmetry_Int_Tables_number 123
_symmetry_space_group_name_Hall '-P 4 2'
loop_
_atom_site_label
_atom_site_type_symbol
_atom_site_fract_x
_atom_site_fract_y
_atom_site_fract_z
Sb1 Sb 0.000 0.000 0.000
Te1 Te 0.000 0.500 0.500
Mo1 Mo 0.500 0.500 0.000
O1 O 0.000 0.000 0.500
# ΔE to the lowest computed polymorph ... 0.0 kJ per mole of atoms

This record from the Alexandria database describes a relaxed TlSbMo2O8 crystal. The functional is PBE with a Hubbard U.

The structure in CIF format:
```
data_TlSbMo2O8
_chemical_formula_sum 'Tl1 Sb1 Mo2 O8'
_cell_length_a 6.0461
_cell_length_b 6.0461
_cell_length_c 7.8351
_cell_angle_alpha 90.00
_cell_angle_beta 90.00
_cell_angle_gamma 120.00
_symmetry_space_group_name_H-M 'P -3'
_symmetry_Int_Tables_number 147
_symmetry_space_group_name_Hall '-P 3'
loop_
_atom_site_label
_atom_site_type_symbol
_atom_site_fract_x
_atom_site_fract_y
_atom_site_fract_z
Tl1 Tl 0.0000 0.0000 0.0000
Sb1 Sb 0.0000 0.0000 0.5000
Mo1 Mo 0.3333 0.6667 0.7525
O1 O 0.1660 0.3365 0.6801
O2 O 0.3333 0.6667 0.9755
```

This record from the Alexandria database describes a relaxed Tl2SbMoO8 crystal. The functional is PBE with a Hubbard U.

The structure in CIF format:
```
data_Tl2SbMoO8
_chemical_formula_sum 'Tl4 Sb2 Mo2 O16'
_cell_length_a 6.930
_cell_length_b 7.192
_cell_length_c 6.552
_cell_angle_alpha 90.00
_cell_angle_beta 90.00
_cell_angle_gamma 90.00
_symmetry_space_group_name_H-M 'C m m m'
_symmetry_Int_Tables_number 65
_symmetry_space_group_name_Hall '-C 2 2'
loop_
_atom_site_label
_atom_site_type_symbol
_atom_site_fract_x
_atom_site_fract_y
_atom_site_fract_z
Tl1 Tl 0.000 0.000 0.250
Sb1 Sb 0.000 0.500 0.000
Mo1 Mo 0.000 0.500 0.500
O1 O 0.000 0.325 0.250
O2 O 0.214 0.000 0.000
O3 O 0.221 0.000 0.500
```

This record from the Alexandria database describes a relaxed TlSbMoO6 crystal. The functional is PBE with a Hubbard U.

The structure in CIF format:
```
data_TlSbMoO6
_chemical_formula_sum 'Tl1 Sb1 Mo1 O6'
_cell_length_a 5.3807
_cell_length_b 5.3807
_cell_length_c 6.1599
_cell_angle_alpha 90.00
_cell_angle_beta 90.00
_cell_angle_gamma 120.00
_symmetry_space_group_name_H-M 'P 3 1 2'
_symmetry_Int_Tables_number 149
_symmetry_space_group_name_Hall 'P 3 2'
loop_
_atom_site_label
_atom_site_type_symbol
_atom_site_fract_x
_atom_site_fract_y
_atom_site_fract_z
Tl1 Tl 0.0000 0.0000 0.0000
Sb1 Sb 0.6667 0.3333 0.5000
Mo1 Mo 0.3333 0.6667 0.5000
O1 O 0.0086 0.4023 0.3185
```

This record from the Alexandria database describes a relaxed TlSb2MoO8 crystal. The functional is PBE with a Hubbard U.

The structure in CIF format:
```
data_TlSb2MoO8
_chemical_formula_sum 'Tl2 Sb4 Mo2 O16'
_cell_length_a 6.854
_cell_length_b 6.973
_cell_length_c 6.658
_cell_angle_alpha 90.00
_cell_angle_beta 90.00
_cell_angle_gamma 90.00
_symmetry_space_group_name_H-M 'C m m m'
_symmetry_Int_Tables_number 65
_symmetry_space_group_name_Hall '-C 2 2'
loop_
_atom_site_label
_atom_site_type_symbol
_atom_site_fract_x
_atom_site_fract_y
_atom_site_fract_z
Tl1 Tl 0.000 0.000 0.000
Sb1 Sb 0.000 0.500 0.253
Mo1 Mo 0.000 0.000 0.500
O1 O 0.000 0.303 0.500
O2 O 0.000 0.323 0.000
O3 O 0.204 0.000 0.271
```

What raw total energy values result from the calculations? In sequence: -16.9, -20.8, -77.6, -138.5, -55.4, -145.2 eV for the cell shown.